1.
Here is a relaxed ZrSc2Ru4 crystal from Alexandria via LeMat-Bulk. Energies are from PBE.

The calculation puts the size of the total moment at 0.002 μB/f.u. Its space group is No. 139. As for the volume: 125 Å³ per cell. For the calculated formation energy, the calculation gives 1.4 kJ/mol of atoms.

Cell: 5.4563 5.4563 5.4563 Å, 110.28 109.07 109.07°
With the nearest neighbours (Å) after each atom.
Fractional positions:
Ru: 0.0000 0.0000 0.5000  4 Sc 2.73, 2 Zr 2.73
Sc: 0.5000 0.5000 0.0000  8 Ru 2.73
Ru: 0.5000 0.0000 0.0000  4 Sc 2.73, 2 Zr 2.73
Ru: 0.0000 0.5000 0.0000  4 Sc 2.73, 2 Zr 2.73
Sc: 0.5000 0.0000 0.5000  8 Ru 2.73
Zr: 0.0000 0.0000 0.0000  8 Ru 2.73
Ru: 0.5000 0.5000 0.5000  2 Zr 2.73, 4 Sc 2.73

***

2.
Here is a relaxed NiSbTe2Pb crystal from Alexandria via LeMat-Bulk. Energies are from PBE.

The calculation puts the formation energy (no corrections) at 1.29 eV/atom. The calculation puts the size of the total moment at 1.458 μB/f.u. Its space group is No. 123. As for the volume: 197 Å³ per cell.

Cell: 5.8270 5.8270 5.8046 Å, 90.00 90.00 90.00°
With the nearest neighbours (Å) after each atom.
Fractional positions:
Sb: 0.0000 0.0000 0.5000  2 Pb 2.90
Ni: 0.5000 0.5000 0.5000  8 Te 4.11, 4 Sb 4.12
Te: 0.0000 0.5000 0.0000  2 Pb 2.91
Te: 0.5000 0.0000 0.0000  2 Pb 2.91
Pb: 0.0000 0.0000 0.0000  2 Sb 2.90, 4 Te 2.91

***

3.
Here is a relaxed CePrGaGe crystal from Alexandria via LeMat-Bulk. Energies are from PBE.

The calculation puts the size of the total moment at 1.229 μB/f.u. Its space group is No. 216. As for the volume: 100 Å³ per cell. For the calculated formation energy, the calculation gives -50.6 kJ/mol of atoms.

Cell: 5.2132 5.2132 5.2132 Å, 60.00 60.00 60.00°
With the nearest neighbours (Å) after each atom.
Fractional positions:
Ge: 0.2500 0.2500 0.2500  4 Pr 3.19, 4 Ce 3.19
Pr: 0.5000 0.5000 0.5000  4 Ga 3.19, 4 Ge 3.19
Ga: 0.7500 0.7500 0.7500  4 Ce 3.19, 4 Pr 3.19
Ce: 0.0000 0.0000 0.0000  4 Ge 3.19, 4 Ga 3.19

***

4.
Here is a relaxed AsWCl crystal from Alexandria via LeMat-Bulk. Energies are from PBE.

The calculation puts the formation energy (no corrections) at 0.70 eV/atom. The calculation puts the size of the total moment at 0.000 μB/f.u. Its space group is No. 44. As for the volume: 52 Å³ per cell.

Cell: 4.8519 4.8519 4.8519 Å, 145.14 126.79 65.20°
With the nearest neighbours (Å) after each atom.
Fractional positions:
As: 0.0078 0.0078 0.0000  5 Cl 2.80-2.91, 5 W 2.83-2.99, 2 As 2.91
Cl: 0.3505 0.3505 0.0000  1 W 2.38
W: 0.6417 0.6417 0.0000  1 Cl 2.38

***

5.
Here is a relaxed ZrCu2Ru crystal from Alexandria via LeMat-Bulk. Energies are from PBE.

The calculation puts the size of the total moment at 0.000 μB/f.u. Its space group is No. 122. As for the volume: 130 Å³ per cell. For the calculated formation energy, the calculation gives 15.9 kJ/mol of atoms.

Cell: 3.6857 3.6857 9.9328 Å, 79.31 79.31 90.00°
With the nearest neighbours (Å) after each atom.
Fractional positions:
Cu: 0.0953 0.6250 0.2500  2 Cu 2.46, 2 Ru 2.69
Cu: 0.6547 0.1250 0.2500  2 Cu 2.46, 2 Ru 2.69
Zr: 0.5000 0.5000 0.0000  4 Ru 2.61, 4 Cu 2.77
Ru: 0.7500 0.2500 0.5000  4 Zr 2.61, 4 Cu 2.69
Cu: 0.8750 0.9047 0.7500  2 Cu 2.46, 2 Ru 2.69
Cu: 0.3750 0.3453 0.7500  2 Cu 2.46, 2 Ru 2.69
Zr: 0.2500 0.7500 0.5000  4 Ru 2.61, 4 Cu 2.77
Ru: 0.0000 0.0000 0.0000  4 Zr 2.61, 4 Cu 2.69

***

6.
Here is a relaxed ThZnSn crystal from Alexandria via LeMat-Bulk. Energies are from PBE.

The calculation puts the size of the total moment at 0.001 μB/f.u. Its space group is No. 166. As for the volume: 159 Å³ per cell. For the calculated formation energy, the calculation gives -25.1 kJ/mol of atoms.

Cell: 4.3472 4.3472 10.0541 Å, 77.51 77.51 60.00°
With the nearest neighbours (Å) after each atom.
Fractional positions:
Th: 0.5671 0.5671 0.2988  6 Zn 3.14-3.22, 3 Sn 3.33
Zn: 0.1644 0.1644 0.5068  3 Zn 2.51
Sn: 0.3085 0.3085 0.0746  3 Sn 2.90
Zn: 0.8356 0.8356 0.4932  3 Zn 2.51
Sn: 0.6915 0.6915 0.9254  3 Sn 2.90
Th: 0.4329 0.4329 0.7012  6 Zn 3.14-3.22, 3 Sn 3.33

***

7.
Here is a relaxed Ac6As2HSe3 crystal from Alexandria via LeMat-Bulk. Energies are from PBE.

The final energy comes out at -5.423 eV per atom. The calculation puts the size of the total moment at 0.767 μB/f.u. Its space group is No. 12. As for the volume: 373 Å³ per cell.

Cell: 4.4571 8.9329 9.8978 Å, 103.54 103.01 90.00°
With the nearest neighbours (Å) after each atom.
Fractional positions:
Se: 0.1724 0.8365 0.3449  6 Ac 3.15-3.20
Ac: 0.3409 0.9163 0.6817  1 H 2.98, 2 As 3.13, 3 Se 3.15-3.19
As: 0.8370 0.6688 0.6740  6 Ac 3.09-3.14
As: 0.1630 0.3312 0.3260  6 Ac 3.09-3.14
Ac: 0.3305 0.4197 0.6610  3 As 3.13-3.14, 3 Se 3.17-3.18
Se: 0.5000 0.5000 0.0000  6 Ac 3.17-3.19
Ac: 0.6695 0.5803 0.3390  3 As 3.13-3.14, 3 Se 3.17-3.18
Ac: 0.0018 0.7570 0.0036  1 As 3.09, 2 H 3.12, 3 Se 3.19-3.20
H: 0.5000 0.0000 0.0000  6 Ac 2.98-3.12
Ac: 0.9982 0.2430 0.9964  1 As 3.09, 2 H 3.12, 3 Se 3.19-3.20
Ac: 0.6591 0.0837 0.3183  1 H 2.98, 2 As 3.13, 3 Se 3.15-3.19
Se: 0.8276 0.1635 0.6551  6 Ac 3.15-3.20

***

8.
Here is a relaxed BaYPt4 crystal from Alexandria via LeMat-Bulk. Energies are from PBE.

The calculation puts the size of the total moment at 0.000 μB/f.u. Its space group is No. 216. As for the volume: 122 Å³ per cell. For the calculated formation energy, the calculation gives -79.7 kJ/mol of atoms.

Cell: 5.5736 5.5736 5.5736 Å, 60.00 60.00 60.00°
With the nearest neighbours (Å) after each atom.
Fractional positions:
Ba: 0.0000 0.0000 0.0000  12 Pt 3.27, 4 Y 3.41
Y: 0.7500 0.7500 0.7500  12 Pt 3.27, 4 Ba 3.41
Pt: 0.3755 0.3755 0.3755  6 Pt 2.78-2.80
Pt: 0.8735 0.3755 0.3755  6 Pt 2.78-2.80
Pt: 0.3755 0.8735 0.3755  6 Pt 2.78-2.80
Pt: 0.3755 0.3755 0.8735  6 Pt 2.78-2.80

***

9.
Here is a relaxed MoPbSe2 crystal from Alexandria via LeMat-Bulk. Energies are from PBE.

The calculation puts the formation energy (no corrections) at 0.05 eV/atom. The calculation puts the size of the total moment at 0.000 μB/f.u. Its space group is No. 160. As for the volume: 94 Å³ per cell.

Cell: 9.7033 9.7033 9.7033 Å, 20.05 20.05 20.05°
With the nearest neighbours (Å) after each atom.
Fractional positions:
Mo: 0.5026 0.5026 0.5026  3 Se 2.53
Se: 0.0158 0.0158 0.0158  3 Pb 2.86
Pb: 0.7560 0.7560 0.7560  3 Se 2.86, 3 Mo 3.00
Se: 0.2257 0.2257 0.2257  3 Mo 2.53

***

10.
Here is a relaxed Y4Re crystal from Alexandria via LeMat-Bulk. Energies are from PBE.

The calculation puts the size of the total moment at 0.000 μB/f.u. Its space group is No. 229. As for the volume: 155 Å³ per cell. For the calculated formation energy, the calculation gives 42.4 kJ/mol of atoms.

Cell: 5.8560 5.8560 5.8560 Å, 109.47 109.47 109.47°
With the nearest neighbours (Å) after each atom.
Fractional positions:
Y: 0.5000 0.5000 0.5000  2 Re 2.93
Re: 0.0000 0.0000 0.0000  8 Y 2.93
Y: 0.0000 0.5000 0.0000  2 Re 2.93
Y: 0.0000 0.0000 0.5000  2 Re 2.93
Y: 0.5000 0.0000 0.0000  2 Re 2.93

***

11.
Here is a relaxed Pu8TcGe3 crystal from Alexandria via LeMat-Bulk. Energies are from PBE.

The calculation puts the size of the total moment at 32.591 μB/f.u. Its space group is No. 8. As for the volume: 262 Å³ per cell. For the calculated formation energy, the calculation gives -17.4 kJ/mol of atoms.

Cell: 8.9761 7.5154 5.4251 Å, 68.88 89.95 126.64°
With the nearest neighbours (Å) after each atom.
Fractional positions:
Pu: 0.6640 0.0000 0.0000  5 Pu 2.96-3.20, 1 Tc 3.03, 4 Ge 3.04-3.09
Pu: 0.1508 0.0000 0.5026  1 Pu 2.69
Ge: 0.4991 0.0000 0.5001  10 Pu 3.07-3.16
Pu: 0.8514 0.0000 0.5013  1 Pu 2.69
Pu: 0.4023 0.4874 0.7553  4 Pu 2.86-3.17, 1 Tc 2.98, 4 Ge 3.06-3.11
Ge: 0.7488 0.4954 0.7510  10 Pu 3.03-3.07
Pu: 0.0880 0.4956 0.7512  4 Pu 2.86-3.17, 1 Tc 3.04, 4 Ge 3.04-3.07
Pu: 0.9149 0.5126 0.2427  4 Pu 2.86-3.17, 1 Tc 2.98, 4 Ge 3.06-3.11
Ge: 0.2534 0.5046 0.2464  10 Pu 3.03-3.07
Tc: 0.0015 0.0000 0.0024  10 Pu 2.98-3.04
Pu: 0.3337 0.0000 0.0004  5 Pu 2.96-3.18, 1 Tc 2.98, 4 Ge 3.06-3.09
Pu: 0.5924 0.5044 0.2468  4 Pu 2.86-3.17, 1 Tc 3.04, 4 Ge 3.04-3.07

***

12.
Here is a relaxed La2Al9Ir6 crystal from Alexandria via LeMat-Bulk. Energies are from PBE.

The calculation puts the size of the total moment at 1.183 μB/f.u. Its space group is No. 191. As for the volume: 362 Å³ per cell. For the calculated formation energy, the calculation gives -56.1 kJ/mol of atoms.

Cell: 6.9884 6.9884 8.5614 Å, 90.00 90.00 120.00°
With the nearest neighbours (Å) after each atom.
Fractional positions:
Al: 0.5000 0.0000 0.8342  4 Ir 2.47
La: 0.0000 0.0000 0.2660  12 Al 3.60-4.03, 1 La 4.01
Al: 0.5000 0.5000 0.8342  4 Ir 2.47
Al: 0.5000 0.5000 0.1658  4 Ir 2.47
Ir: 0.6667 0.3333 0.3322  6 Al 2.47-2.48
Ir: 0.3333 0.6667 0.0000  6 Al 2.47
Al: 0.0000 0.5000 0.5000  4 Ir 2.48
Al: 0.5000 0.5000 0.5000  4 Ir 2.48
Ir: 0.6667 0.3333 0.0000  6 Al 2.47
Al: 0.0000 0.5000 0.8342  4 Ir 2.47
Ir: 0.3333 0.6667 0.3322  6 Al 2.47-2.48
La: 0.0000 0.0000 0.7340  12 Al 3.60-4.03, 1 La 4.01
Ir: 0.6667 0.3333 0.6678  6 Al 2.47-2.48
Ir: 0.3333 0.6667 0.6678  6 Al 2.47-2.48
Al: 0.5000 0.0000 0.5000  4 Ir 2.48
Al: 0.5000 0.0000 0.1658  4 Ir 2.47
Al: 0.0000 0.5000 0.1658  4 Ir 2.47

***

13.
Here is a relaxed Sr2ZnAu2O6 crystal from Alexandria via LeMat-Bulk. Energies are from PBE.

The calculation puts the formation energy (no corrections) at -0.99 eV/atom. The calculation puts the size of the total moment at 0.000 μB/f.u. Its space group is No. 166. As for the volume: 176 Å³ per cell.

Cell: 6.0475 6.0475 6.5742 Å, 62.62 62.62 60.00°
With the nearest neighbours (Å) after each atom.
Fractional positions:
O: 0.7710 0.7710 0.2628  1 Au 2.02, 1 Zn 2.08
Zn: 0.0000 0.0000 0.0000  6 O 2.08
O: 0.1951 0.7710 0.2628  1 Au 2.02, 1 Zn 2.08
O: 0.2290 0.8049 0.7372  1 Au 2.02, 1 Zn 2.08
O: 0.2290 0.2290 0.7372  1 Au 2.02, 1 Zn 2.08
O: 0.8049 0.2290 0.7372  1 Au 2.02, 1 Zn 2.08
Au: 0.5888 0.5888 0.2335  3 O 2.02
Au: 0.4112 0.4112 0.7665  3 O 2.02
Sr: 0.2102 0.2102 0.3695  3 O 2.53
O: 0.7710 0.1951 0.2628  1 Au 2.02, 1 Zn 2.08
Sr: 0.7898 0.7898 0.6305  3 O 2.53